1.
{
  "formula": "AlIr5",
  "functional": "GGA-PBE",
  "state": "relaxed",
  "lattice_angstrom": [[-2.100, -4.371, -1.700], [0.276, -5.104, -0.528], [-3.297, -2.415, 5.176]],
  "species": ["Al", "Ir", "Ir", "Ir", "Ir", "Ir"],
  "frac_coords": [[0.000, 0.000, 0.999], [0.337, 0.337, 0.327], [0.662, 0.662, 0.675], [0.613, 0.613, 0.275], [0.943, 0.943, 0.608], [0.279, 0.279, 0.949]],
  "formation_enthalpy_0k_kcal_per_mol_atoms": -5.3,
  "polymorph_energy_mev_per_atom": 5.5,
  "e_tot_ev_per_atom": -8.24
}



2.
{
  "formula": "Al2Ir",
  "functional": "GGA-PBE",
  "state": "relaxed",
  "lattice_angstrom": [[3.927, 0.000, 0.000], [0.000, 5.692, 0.000], [0.000, 0.000, 8.074]],
  "species": ["Al", "Al", "Al", "Al", "Al", "Al", "Al", "Al", "Ir", "Ir", "Ir", "Ir"],
  "frac_coords": [[0.250, 0.062, 0.848], [0.750, 0.438, 0.348], [0.250, 0.562, 0.652], [0.750, 0.938, 0.152], [0.250, 0.152, 0.471], [0.750, 0.348, 0.971], [0.250, 0.652, 0.029], [0.750, 0.848, 0.529], [0.250, 0.751, 0.337], [0.750, 0.749, 0.837], [0.250, 0.251, 0.163], [0.750, 0.249, 0.663]],
  "formation_enthalpy_0k_kcal_per_mol_atoms": -18.1,
  "e_tot_ev_per_atom": -6.23
}



3.
{
  "formula": "AlIr2",
  "functional": "GGA-PBE",
  "state": "relaxed",
  "lattice_angstrom": [[-0.483, -0.036, -5.845], [3.048, -5.006, -0.221], [-4.988, -3.056, 0.431]],
  "species": ["Ir", "Ir", "Ir", "Ir", "Ir", "Ir", "Ir", "Ir", "Al", "Al", "Al", "Al"],
  "frac_coords": [[0.620, 0.620, 0.380], [0.380, 0.380, 0.620], [0.120, 0.880, 0.620], [0.880, 0.120, 0.380], [0.380, 0.120, 0.120], [0.620, 0.880, 0.880], [0.880, 0.380, 0.880], [0.120, 0.620, 0.120], [0.000, 0.000, 0.000], [0.500, 0.500, 0.000], [0.500, 0.000, 0.500], [0.000, 0.500, 0.500]],
  "formation_enthalpy_0k_kcal_per_mol_atoms": 9.4,
  "e_tot_ev_per_atom": -6.75
}



4.
{
  "formula": "Al4Ir",
  "functional": "GGA-PBE",
  "state": "relaxed",
  "lattice_angstrom": [[-3.088, 3.088, 1.946], [3.088, -3.088, 1.946], [3.088, 3.088, -1.946]],
  "species": ["Al", "Al", "Al", "Al", "Ir"],
  "frac_coords": [[0.199, 0.606, 0.806], [0.606, 0.801, 0.407], [0.801, 0.394, 0.194], [0.394, 0.199, 0.593], [0.000, 0.000, 0.000]],
  "formation_enthalpy_0k_kcal_per_mol_atoms": -9.6,
  "polymorph_energy_mev_per_atom": 79.0,
  "e_tot_ev_per_atom": -5.18
}



5.
{
  "formula": "Al4Ir",
  "functional": "GGA-PBE",
  "state": "relaxed",
  "lattice_angstrom": [[-2.251, 0.725, 8.566], [6.193, 0.260, 6.357], [-2.912, 7.696, 3.335]],
  "species": ["Al", "Al", "Al", "Al", "Al", "Al", "Al", "Al", "Al", "Al", "Al", "Al", "Al", "Al", "Al", "Al", "Al", "Al", "Al", "Al", "Al", "Al", "Al", "Al", "Ir", "Ir", "Ir", "Ir", "Ir", "Ir"],
  "frac_coords": [[0.360, 0.809, 0.731], [0.140, 0.269, 0.191], [0.640, 0.191, 0.269], [0.860, 0.731, 0.809], [0.627, 0.477, 0.049], [0.873, 0.951, 0.523], [0.750, 0.633, 0.367], [0.250, 0.367, 0.633], [0.883, 0.436, 0.634], [0.617, 0.366, 0.564], [0.117, 0.564, 0.366], [0.383, 0.634, 0.436], [0.044, 0.205, 0.850], [0.456, 0.150, 0.795], [0.956, 0.795, 0.150], [0.544, 0.850, 0.205], [0.000, 0.500, 0.000], [0.500, 0.000, 0.500], [0.961, 0.962, 0.853], [0.539, 0.147, 0.038], [0.039, 0.038, 0.147], [0.461, 0.853, 0.962], [0.127, 0.049, 0.477], [0.373, 0.523, 0.951], [0.250, 0.770, 0.230], [0.750, 0.230, 0.770], [0.202, 0.629, 0.777], [0.298, 0.223, 0.371], [0.798, 0.371, 0.223], [0.702, 0.777, 0.629]],
  "formation_enthalpy_0k_kcal_per_mol_atoms": -11.4,
  "polymorph_energy_mev_per_atom": 0.0,
  "e_tot_ev_per_atom": -5.26
}



6.
{
  "formula": "Al8Ir",
  "functional": "GGA-PBE",
  "state": "relaxed",
  "lattice_angstrom": [[-4.194, 4.194, 1.996], [4.194, -4.194, 1.996], [4.194, 4.194, -1.996]],
  "species": ["Al", "Al", "Al", "Al", "Al", "Al", "Al", "Al", "Ir"],
  "frac_coords": [[0.339, 0.661, 0.000], [0.661, 0.339, 0.000], [0.000, 0.327, 0.327], [0.661, 0.661, 0.321], [0.327, 0.000, 0.327], [0.339, 0.339, 0.679], [0.000, 0.673, 0.673], [0.673, 0.000, 0.673], [0.000, 0.000, 0.000]],
  "formation_enthalpy_0k_kcal_per_mol_atoms": -4.9,
  "e_tot_ev_per_atom": -4.52
}



7.
{
  "formula": "Al4Ir3",
  "functional": "GGA-PBE",
  "state": "relaxed",
  "lattice_angstrom": [[4.070, 0.000, 1.213], [1.854, 3.623, 1.213], [0.067, 0.041, 7.208]],
  "species": ["Al", "Al", "Al", "Al", "Ir", "Ir", "Ir"],
  "frac_coords": [[0.616, 0.616, 0.152], [0.870, 0.870, 0.389], [0.130, 0.130, 0.611], [0.384, 0.384, 0.848], [0.253, 0.253, 0.242], [0.747, 0.747, 0.758], [0.000, 0.000, 0.000]],
  "formation_enthalpy_0k_kcal_per_mol_atoms": -19.4,
  "polymorph_energy_mev_per_atom": 0.0,
  "e_tot_ev_per_atom": -6.78
}



8.
{
  "formula": "AlIr",
  "functional": "GGA-PBE",
  "state": "relaxed",
  "lattice_angstrom": [[-3.432, 1.903, 3.006], [-4.710, -0.965, -1.148], [4.156, -2.623, 0.532]],
  "species": ["Ir", "Ir", "Al", "Al"],
  "frac_coords": [[0.500, 0.500, 0.000], [0.750, 0.250, 0.500], [0.000, 0.000, 0.000], [0.250, 0.750, 0.500]],
  "formation_enthalpy_0k_kcal_per_mol_atoms": -13.9,
  "e_tot_ev_per_atom": -6.91
}



9.
{
  "formula": "Al2Ir",
  "functional": "GGA-PBE",
  "state": "relaxed",
  "lattice_angstrom": [[8.082, 0.000, 0.000], [4.041, 6.999, 0.000], [4.041, 2.333, 6.599]],
  "species": ["Ir", "Ir", "Ir", "Ir", "Ir", "Ir", "Ir", "Ir", "Al", "Al", "Al", "Al", "Al", "Al", "Al", "Al", "Al", "Al", "Al", "Al", "Al", "Al", "Al", "Al"],
  "frac_coords": [[0.900, 0.900, 0.300], [0.900, 0.300, 0.900], [0.900, 0.900, 0.900], [0.300, 0.900, 0.900], [0.350, 0.350, 0.950], [0.350, 0.950, 0.350], [0.350, 0.350, 0.350], [0.950, 0.350, 0.350], [0.625, 0.125, 0.125], [0.125, 0.125, 0.125], [0.125, 0.625, 0.125], [0.125, 0.125, 0.625], [0.706, 0.294, 0.294], [0.706, 0.706, 0.294], [0.294, 0.706, 0.294], [0.706, 0.294, 0.706], [0.294, 0.294, 0.706], [0.294, 0.706, 0.706], [0.544, 0.956, 0.956], [0.544, 0.544, 0.956], [0.956, 0.544, 0.956], [0.544, 0.956, 0.544], [0.956, 0.956, 0.544], [0.956, 0.544, 0.544]],
  "formation_enthalpy_0k_kcal_per_mol_atoms": -17.7,
  "e_tot_ev_per_atom": -6.22
}



10.
{
  "formula": "AlIr",
  "functional": "GGA-PBE",
  "state": "relaxed",
  "lattice_angstrom": [[1.451, 5.371, -0.003], [-1.451, 5.371, -0.003], [0.000, 1.378, 5.605]],
  "species": ["Al", "Al", "Al", "Ir", "Ir", "Ir"],
  "frac_coords": [[0.338, 0.338, 0.351], [0.642, 0.642, 0.719], [0.620, 0.620, 0.240], [0.986, 0.986, 0.026], [0.973, 0.973, 0.560], [0.275, 0.275, 0.939]],
  "formation_enthalpy_0k_kcal_per_mol_atoms": -14.2,
  "e_tot_ev_per_atom": -6.92
}



11.
{
  "formula": "AlIr2",
  "functional": "GGA-PBE",
  "state": "relaxed",
  "lattice_angstrom": [[-1.505, 1.326, 1.928], [2.311, -1.364, 0.735], [3.433, 5.297, -0.962]],
  "species": ["Ir", "Ir", "Al"],
  "frac_coords": [[0.667, 0.333, 0.683], [0.333, 0.667, 0.317], [0.000, 0.000, 0.000]],
  "formation_enthalpy_0k_kcal_per_mol_atoms": -10.4,
  "e_tot_ev_per_atom": -7.61
}



12.
{
  "formula": "AlIr",
  "functional": "GGA-PBE",
  "state": "relaxed",
  "lattice_angstrom": [[7.949, 0.000, 0.000], [0.000, 7.949, 0.000], [0.000, 0.000, 4.117]],
  "species": ["Al", "Al", "Al", "Al", "Al", "Al", "Al", "Al", "Ir", "Ir", "Ir", "Ir", "Ir", "Ir", "Ir", "Ir"],
  "frac_coords": [[0.506, 0.778, 0.000], [0.494, 0.222, 0.000], [0.222, 0.506, 0.000], [0.778, 0.494, 0.000], [0.006, 0.278, 0.500], [0.994, 0.722, 0.500], [0.722, 0.006, 0.500], [0.278, 0.994, 0.500], [0.187, 0.147, 0.000], [0.813, 0.853, 0.000], [0.853, 0.187, 0.000], [0.147, 0.813, 0.000], [0.687, 0.647, 0.500], [0.313, 0.353, 0.500], [0.353, 0.687, 0.500], [0.647, 0.313, 0.500]],
  "formation_enthalpy_0k_kcal_per_mol_atoms": -9.3,
  "e_tot_ev_per_atom": -6.70
}



13.
{
  "formula": "AlIr",
  "functional": "GGA-PBE",
  "state": "relaxed",
  "lattice_angstrom": [[7.033, 0.000, 0.000], [-3.516, 6.091, 0.000], [0.000, 0.000, 4.507]],
  "species": ["Al", "Al", "Al", "Al", "Al", "Al", "Ir", "Ir", "Ir", "Ir", "Ir", "Ir"],
  "frac_coords": [[0.783, 0.065, 0.250], [0.718, 0.783, 0.750], [0.935, 0.718, 0.250], [0.217, 0.935, 0.750], [0.282, 0.217, 0.250], [0.065, 0.282, 0.750], [0.106, 0.459, 0.250], [0.647, 0.106, 0.750], [0.541, 0.647, 0.250], [0.894, 0.541, 0.750], [0.353, 0.894, 0.250], [0.459, 0.353, 0.750]],
  "formation_enthalpy_0k_kcal_per_mol_atoms": -8.9,
  "e_tot_ev_per_atom": -6.69
}



14.
{
  "formula": "Al5Ir",
  "functional": "GGA-PBE",
  "state": "relaxed",
  "lattice_angstrom": [[1.497, -7.020, 0.000], [1.497, 7.020, 0.000], [0.000, 0.000, 4.405]],
  "species": ["Al", "Al", "Al", "Al", "Al", "Ir"],
  "frac_coords": [[0.001, 0.999, 0.000], [0.337, 0.663, 0.000], [0.662, 0.338, 0.000], [0.454, 0.546, 0.500], [0.770, 0.230, 0.500], [0.109, 0.891, 0.500]],
  "formation_enthalpy_0k_kcal_per_mol_atoms": -5.9,
  "e_tot_ev_per_atom": -4.85
}



15.
{
  "formula": "Al5Ir",
  "functional": "GGA-PBE",
  "state": "relaxed",
  "lattice_angstrom": [[-2.814, 0.491, -0.268], [-0.559, -2.548, 1.195], [-0.135, 4.922, 10.427]],
  "species": ["Al", "Al", "Al", "Al", "Al", "Ir"],
  "frac_coords": [[0.000, 0.000, 0.859], [0.000, 0.000, 0.141], [0.500, 0.500, 0.679], [0.500, 0.500, 0.321], [0.000, 0.000, 0.500], [0.500, 0.500, 0.000]],
  "formation_enthalpy_0k_kcal_per_mol_atoms": -6.8,
  "e_tot_ev_per_atom": -4.89
}



16.
{
  "formula": "Al3Ir5",
  "functional": "GGA-PBE",
  "state": "relaxed",
  "lattice_angstrom": [[-4.136, -2.977, -1.620], [3.338, -3.939, 1.389], [-1.493, 0.048, 3.725]],
  "species": ["Al", "Al", "Al", "Ir", "Ir", "Ir", "Ir", "Ir"],
  "frac_coords": [[0.500, 0.500, 0.000], [0.774, 0.226, 0.500], [0.226, 0.774, 0.500], [0.000, 0.000, 0.000], [0.000, 0.500, 0.000], [0.500, 0.000, 0.000], [0.279, 0.279, 0.500], [0.721, 0.721, 0.500]],
  "formation_enthalpy_0k_kcal_per_mol_atoms": -13.7,
  "polymorph_energy_mev_per_atom": 0.0,
  "e_tot_ev_per_atom": -7.54
}



17.
{
  "formula": "AlIr",
  "functional": "GGA-PBE",
  "state": "relaxed",
  "lattice_angstrom": [[5.027, -0.008, 0.000], [-4.221, 2.730, 0.000], [0.000, 0.000, 4.182]],
  "species": ["Ir", "Ir", "Al", "Al"],
  "frac_coords": [[0.849, 0.151, 0.750], [0.151, 0.849, 0.250], [0.586, 0.414, 0.750], [0.414, 0.586, 0.250]],
  "formation_enthalpy_0k_kcal_per_mol_atoms": -14.8,
  "e_tot_ev_per_atom": -6.95
}



18.
{
  "formula": "Al2Ir",
  "functional": "GGA-PBE",
  "state": "relaxed",
  "lattice_angstrom": [[4.235, 0.000, 0.000], [-2.117, 3.667, 0.000], [0.000, 0.000, 2.869]],
  "species": ["Ir", "Al", "Al"],
  "frac_coords": [[0.000, 0.000, 0.000], [0.667, 0.333, 0.267], [0.333, 0.667, 0.733]],
  "formation_enthalpy_0k_kcal_per_mol_atoms": -10.9,
  "e_tot_ev_per_atom": -5.92
}



19.
{
  "formula": "Al9Ir2",
  "functional": "GGA-PBE",
  "state": "relaxed",
  "lattice_angstrom": [[-0.992, -6.095, 1.641], [6.372, -1.109, -0.268], [0.849, 2.886, 8.232]],
  "species": ["Ir", "Ir", "Ir", "Ir", "Al", "Al", "Al", "Al", "Al", "Al", "Al", "Al", "Al", "Al", "Al", "Al", "Al", "Al", "Al", "Al", "Al", "Al"],
  "frac_coords": [[0.236, 0.123, 0.169], [0.764, 0.623, 0.331], [0.764, 0.877, 0.831], [0.236, 0.377, 0.669], [0.100, 0.480, 0.229], [0.900, 0.980, 0.271], [0.900, 0.520, 0.771], [0.100, 0.020, 0.729], [0.111, 0.695, 0.502], [0.889, 0.195, 0.998], [0.889, 0.305, 0.498], [0.111, 0.805, 0.002], [0.401, 0.785, 0.273], [0.599, 0.285, 0.227], [0.599, 0.215, 0.727], [0.401, 0.715, 0.773], [0.288, 0.104, 0.461], [0.712, 0.604, 0.039], [0.712, 0.896, 0.539], [0.288, 0.396, 0.961], [0.500, 0.000, 0.000], [0.500, 0.500, 0.500]],
  "formation_enthalpy_0k_kcal_per_mol_atoms": -12.1,
  "e_tot_ev_per_atom": -5.20
}



20.
{
  "formula": "AlIr",
  "functional": "GGA-PBE",
  "state": "relaxed",
  "lattice_angstrom": [[3.571, 0.000, 0.000], [1.785, 3.092, 0.000], [1.785, 1.031, 2.916]],
  "species": ["Ir", "Al"],
  "frac_coords": [[0.500, 0.500, 0.500], [0.000, 0.000, 0.000]],
  "formation_enthalpy_0k_kcal_per_mol_atoms": -1.4,
  "e_tot_ev_per_atom": -6.36
}



21.
{
  "formula": "Al2Ir3",
  "functional": "GGA-PBE",
  "state": "relaxed",
  "lattice_angstrom": [[2.062, -3.571, 0.000], [2.062, 3.571, 0.000], [0.000, 0.000, 5.143]],
  "species": ["Al", "Al", "Ir", "Ir", "Ir"],
  "frac_coords": [[0.667, 0.333, 0.173], [0.333, 0.667, 0.827], [0.000, 0.000, 0.000], [0.667, 0.333, 0.659], [0.333, 0.667, 0.341]],
  "formation_enthalpy_0k_kcal_per_mol_atoms": -10.7,
  "polymorph_energy_mev_per_atom": 4.4,
  "e_tot_ev_per_atom": -7.28
}



22.
{
  "formula": "Al5Ir",
  "functional": "GGA-PBE",
  "state": "relaxed",
  "lattice_angstrom": [[2.480, -4.296, 0.000], [2.480, 4.296, 0.000], [0.000, 0.000, 4.685]],
  "species": ["Al", "Al", "Al", "Al", "Al", "Ir"],
  "frac_coords": [[0.333, 0.667, 0.000], [0.667, 0.333, 0.000], [0.500, 0.000, 0.500], [0.000, 0.500, 0.500], [0.500, 0.500, 0.500], [0.000, 0.000, 0.000]],
  "formation_enthalpy_0k_kcal_per_mol_atoms": 6.7,
  "e_tot_ev_per_atom": -4.30
}



23.
{
  "formula": "AlIr",
  "functional": "GGA-PBE",
  "state": "relaxed",
  "lattice_angstrom": [[-1.170, -8.345, -1.632], [1.512, -8.048, -2.572], [1.014, -8.521, 0.202]],
  "species": ["Ir", "Ir", "Al", "Al"],
  "frac_coords": [[0.496, 0.496, 0.496], [0.254, 0.254, 0.254], [0.996, 0.996, 0.996], [0.754, 0.754, 0.754]],
  "formation_enthalpy_0k_kcal_per_mol_atoms": -7.2,
  "e_tot_ev_per_atom": -6.62
}